[1]
# Ba3ScSb2O9 (PBE, relaxed)
# Raw total energy, eV for the cell shown: -101.25
# ρ, g/cm³: 6.3
# Fermi-level density of states, states/eV/f.u.: 2.882
data_Ba3ScSb2O9
_chemical_formula_sum 'Ba3 Sc1 Sb2 O9'
_symmetry_space_group_name_H-M 'P 1'
_symmetry_Int_Tables_number 1
_symmetry_space_group_name_Hall 'P 1'
_cell_length_a 5.941
_cell_length_b 5.941
_cell_length_c 7.273
_cell_angle_alpha 90.00
_cell_angle_beta 90.00
_cell_angle_gamma 120.00
loop_
_atom_site_label
_atom_site_fract_x
_atom_site_fract_y
_atom_site_fract_z
Ba1 0.333 0.667 0.667
Ba2 0.000 0.000 0.000
Ba3 0.667 0.333 0.333
Sc1 0.000 0.000 0.500
Sb1 0.333 0.667 0.173
Sb2 0.667 0.333 0.827
O1 0.830 0.170 0.669
O2 0.830 0.661 0.669
O3 0.339 0.170 0.669
O4 0.661 0.830 0.331
O5 0.170 0.339 0.331
O6 0.170 0.830 0.331
O7 0.500 0.000 0.000
O8 0.000 0.500 0.000
O9 0.500 0.500 0.000

[2]
# Ba5Sb2SeO (PBE, relaxed)
# Raw total energy, eV for the cell shown: -40.48
# ρ, g/cm³: 4.9
data_Ba5Sb2SeO
_chemical_formula_sum 'Ba5 Sb2 Se1 O1'
_symmetry_space_group_name_H-M 'P 1'
_symmetry_Int_Tables_number 1
_symmetry_space_group_name_Hall 'P 1'
_cell_length_a 5.237
_cell_length_b 5.237
_cell_length_c 12.575
_cell_angle_alpha 90.00
_cell_angle_beta 90.00
_cell_angle_gamma 90.00
loop_
_atom_site_label
_atom_site_fract_x
_atom_site_fract_y
_atom_site_fract_z
Ba1 0.000 0.500 0.500
Ba2 0.500 0.000 0.500
Ba3 0.000 0.000 0.749
Ba4 0.000 0.000 0.251
Ba5 0.500 0.500 0.000
Sb1 0.500 0.500 0.292
Sb2 0.500 0.500 0.708
Se1 0.000 0.000 0.000
O1 0.000 0.000 0.500

[3]
# BaSbSeO2 (PBE, relaxed)
# Raw total energy, eV for the cell shown: -54.61
# ρ, g/cm³: 5.3
# Fermi-level density of states, states/eV/f.u.: 3.115
data_BaSbSeO2
_chemical_formula_sum 'Ba2 Sb2 Se2 O4'
_symmetry_space_group_name_H-M 'P 1'
_symmetry_Int_Tables_number 1
_symmetry_space_group_name_Hall 'P 1'
_cell_length_a 5.525
_cell_length_b 5.946
_cell_length_c 7.641
_cell_angle_alpha 112.90
_cell_angle_beta 90.00
_cell_angle_gamma 90.00
loop_
_atom_site_label
_atom_site_fract_x
_atom_site_fract_y
_atom_site_fract_z
Ba1 0.250 0.620 0.241
Ba2 0.750 0.380 0.759
Sb1 0.250 0.936 0.871
Sb2 0.750 0.064 0.129
Se1 0.750 0.756 0.511
Se2 0.250 0.244 0.489
O1 0.500 0.216 0.000
O2 0.000 0.784 0.000
O3 0.500 0.784 0.000
O4 0.000 0.216 0.000

[4]
# Ba4SbSeO (PBE, relaxed)
# Raw total energy, eV for the cell shown: -62.53
# ρ, g/cm³: 5.1
# Fermi-level density of states, states/eV/f.u.: 4.071
data_Ba4SbSeO
_chemical_formula_sum 'Ba8 Sb2 Se2 O2'
_symmetry_space_group_name_H-M 'P 1'
_symmetry_Int_Tables_number 1
_symmetry_space_group_name_Hall 'P 1'
_cell_length_a 7.438
_cell_length_b 7.392
_cell_length_c 9.810
_cell_angle_alpha 90.00
_cell_angle_beta 112.28
_cell_angle_gamma 90.00
loop_
_atom_site_label
_atom_site_fract_x
_atom_site_fract_y
_atom_site_fract_z
Ba1 0.928 0.250 0.856
Ba2 0.422 0.750 0.844
Ba3 0.072 0.750 0.144
Ba4 0.578 0.250 0.156
Ba5 0.500 0.500 0.500
Ba6 0.000 0.000 0.500
Ba7 0.500 0.000 0.500
Ba8 0.000 0.500 0.500
Sb1 0.113 0.250 0.225
Sb2 0.887 0.750 0.775
Se1 0.618 0.750 0.237
Se2 0.382 0.250 0.763
O1 0.276 0.750 0.552
O2 0.724 0.250 0.448

[5]
# BaSiSbO6 (PBE, relaxed)
# Raw total energy, eV for the cell shown: -59.60
# ρ, g/cm³: 4.8
# Fermi-level density of states, states/eV/f.u.: 7.120
data_BaSiSbO6
_chemical_formula_sum 'Ba1 Si1 Sb1 O6'
_symmetry_space_group_name_H-M 'P 1'
_symmetry_Int_Tables_number 1
_symmetry_space_group_name_Hall 'P 1'
_cell_length_a 5.115
_cell_length_b 5.115
_cell_length_c 5.857
_cell_angle_alpha 90.00
_cell_angle_beta 90.00
_cell_angle_gamma 60.00
loop_
_atom_site_label
_atom_site_fract_x
_atom_site_fract_y
_atom_site_fract_z
Ba1 0.000 0.000 0.000
Si1 0.333 0.333 0.500
Sb1 0.667 0.667 0.500
O1 0.029 0.371 0.318
O2 0.371 0.029 0.682
O3 0.600 0.371 0.682
O4 0.029 0.600 0.682
O5 0.371 0.600 0.318
O6 0.600 0.029 0.318

[6]
# Ba2SmSb3O12 (PBE, relaxed)
# Raw total energy, eV for the cell shown: -114.53
# ρ, g/cm³: 5.9
# Fermi-level density of states, states/eV/f.u.: 6.003
data_Ba2SmSb3O12
_chemical_formula_sum 'Ba2 Sm1 Sb3 O12'
_symmetry_space_group_name_H-M 'P 1'
_symmetry_Int_Tables_number 1
_symmetry_space_group_name_Hall 'P 1'
_cell_length_a 7.104
_cell_length_b 7.104
_cell_length_c 7.104
_cell_angle_alpha 63.88
_cell_angle_beta 63.88
_cell_angle_gamma 63.88
loop_
_atom_site_label
_atom_site_fract_x
_atom_site_fract_y
_atom_site_fract_z
Ba1 0.615 0.615 0.615
Ba2 0.385 0.385 0.385
Sm1 0.000 0.000 0.000
Sb1 0.500 0.000 0.000
Sb2 0.000 0.500 0.000
Sb3 0.000 0.000 0.500
O1 0.280 0.280 0.884
O2 0.871 0.871 0.409
O3 0.409 0.871 0.871
O4 0.884 0.280 0.280
O5 0.871 0.409 0.871
O6 0.280 0.884 0.280
O7 0.720 0.720 0.116
O8 0.129 0.129 0.591
O9 0.591 0.129 0.129
O10 0.116 0.720 0.720
O11 0.129 0.591 0.129
O12 0.720 0.116 0.720

[7]
# Ba3SmSb2O9 (PBE, relaxed)
# Raw total energy, eV for the cell shown: -99.19
# ρ, g/cm³: 6.6
# Fermi-level density of states, states/eV/f.u.: 2.939
data_Ba3SmSb2O9
_chemical_formula_sum 'Ba3 Sm1 Sb2 O9'
_symmetry_space_group_name_H-M 'P 1'
_symmetry_Int_Tables_number 1
_symmetry_space_group_name_Hall 'P 1'
_cell_length_a 6.090
_cell_length_b 6.090
_cell_length_c 7.457
_cell_angle_alpha 90.00
_cell_angle_beta 90.00
_cell_angle_gamma 120.00
loop_
_atom_site_label
_atom_site_fract_x
_atom_site_fract_y
_atom_site_fract_z
Ba1 0.333 0.667 0.677
Ba2 0.000 0.000 0.000
Ba3 0.667 0.333 0.323
Sm1 0.000 0.000 0.500
Sb1 0.333 0.667 0.166
Sb2 0.667 0.333 0.834
O1 0.824 0.176 0.680
O2 0.824 0.648 0.680
O3 0.352 0.176 0.680
O4 0.648 0.824 0.320
O5 0.176 0.352 0.320
O6 0.176 0.824 0.320
O7 0.500 0.000 0.000
O8 0.000 0.500 0.000
O9 0.500 0.500 0.000

[8]
# BaYSnSbO6 (PBE, relaxed)
# Raw total energy, eV for the cell shown: -136.56
# ρ, g/cm³: 6.2
# Fermi-level density of states, states/eV/f.u.: 0.000
data_BaYSnSbO6
_chemical_formula_sum 'Ba2 Y2 Sn2 Sb2 O12'
_symmetry_space_group_name_H-M 'P 1'
_symmetry_Int_Tables_number 1
_symmetry_space_group_name_Hall 'P 1'
_cell_length_a 5.935
_cell_length_b 5.935
_cell_length_c 8.526
_cell_angle_alpha 90.00
_cell_angle_beta 90.00
_cell_angle_gamma 90.00
loop_
_atom_site_label
_atom_site_fract_x
_atom_site_fract_y
_atom_site_fract_z
Ba1 0.000 0.500 0.250
Ba2 0.500 0.000 0.750
Y1 0.000 0.000 0.500
Y2 0.500 0.500 0.000
Sn1 0.500 0.000 0.250
Sn2 0.000 0.500 0.750
Sb1 0.000 0.000 0.000
Sb2 0.500 0.500 0.500
O1 0.000 0.000 0.237
O2 0.500 0.500 0.263
O3 0.000 0.000 0.763
O4 0.500 0.500 0.737
O5 0.281 0.190 0.011
O6 0.719 0.810 0.011
O7 0.810 0.281 0.989
O8 0.190 0.719 0.989
O9 0.781 0.310 0.511
O10 0.219 0.690 0.511
O11 0.310 0.219 0.489
O12 0.690 0.781 0.489